# 1
The following is a PBE calculation of Y2TmPt after structural relaxation, from Alexandria.

a b c (Å): 3.6775 3.6775 10.7191
angles (deg): 80.12 80.12 60.00
Last column: nearest neighbours and their distance in Å.
Sites, in units of the cell vectors:
Tm1 0.0000 0.0000 0.0000  2 Y 3.41, 6 Tm 3.68
Pt1 0.5000 0.5000 0.5000  6 Y 2.81
Y1 0.8917 0.8917 0.3249  3 Pt 2.81
Y2 0.1083 0.1083 0.6751  3 Pt 2.81

Calculated values
M_tot = 0.0 μB per formula unit
energy above the most stable polymorph in this dataset = 0.462 eV per atom

# 2
The following is a PBE calculation of Y2Tm2Pt3 after structural relaxation, from Alexandria.

a b c (Å): 4.8489 4.8499 8.5231
angles (deg): 89.99 106.41 120.03
Last column: nearest neighbours and their distance in Å.
Sites, in units of the cell vectors:
Pt1 0.5019 0.7516 0.2525  4 Y 2.97-3.00, 4 Tm 2.98-3.02
Pt2 0.4981 0.2484 0.7475  4 Y 2.97-3.00, 4 Tm 2.98-3.02
Pt3 0.0000 0.0000 0.0000  6 Tm 2.97, 2 Y 3.02
Y1 0.2499 0.1252 0.3751  5 Pt 2.97-3.02
Y2 0.7501 0.8748 0.6249  5 Pt 2.97-3.02
Tm1 0.7483 0.3742 0.1226  7 Pt 2.97-3.02
Tm2 0.2517 0.6258 0.8774  7 Pt 2.97-3.02

Calculated values
electronic total energy = -6.829 eV/atom
M_tot = 0.0 μB per formula unit

# 3
The following is a PBE calculation of Y2TmPt after structural relaxation, from Alexandria.

a b c (Å): 3.5731 3.5731 8.3497
angles (deg): 90.00 90.00 90.00
Last column: nearest neighbours and their distance in Å.
Sites, in units of the cell vectors:
Y1 0.0000 0.0000 0.8013  4 Pt 3.02, 1 Y 3.32
Y2 0.0000 0.0000 0.1987  4 Pt 3.02, 1 Y 3.32
Pt1 0.5000 0.5000 0.0000  8 Y 3.02
Tm1 0.5000 0.5000 0.5000  8 Y 3.57, 4 Tm 3.57

Calculated values
M_tot = 0.0 μB per formula unit
energy above the most stable polymorph in this dataset = 0.159 eV per atom